one | The following is a GGA-PBE calculation of an optimized crystal structure of SmSc2Pt, from Alexandria.

Cell lengths 3.3788, 3.3788, 8.1501 Å; angles 90.00, 90.00, 90.00 degrees
Closest atoms and distances in Å follow each position.
Atoms (fractional coordinates):
Sm 0.0000 0.0000 0.0000  4 Sm 3.38, 8 Sc 3.47
Sc 0.5000 0.5000 0.3095  4 Pt 2.85, 1 Sc 3.10
Sc 0.5000 0.5000 0.6905  4 Pt 2.85, 1 Sc 3.10
Pt 0.0000 0.0000 0.5000  8 Sc 2.85

Total moment, μB/cell: 0.0

=====

two | The following is a GGA-PBE calculation of an optimized crystal structure of SmSc2Pt, from Alexandria.

Cell lengths 6.8945, 9.1065, 6.2021 Å; angles 90.00, 90.00, 90.00 degrees
Closest atoms and distances in Å follow each position.
Atoms (fractional coordinates):
Sm 0.0154 0.2500 0.1234  2 Pt 2.86-2.96
Sm 0.4846 0.7500 0.6234  2 Pt 2.86-2.96
Sm 0.5154 0.2500 0.3766  2 Pt 2.86-2.96
Sm 0.9846 0.7500 0.8766  2 Pt 2.86-2.96
Sc 0.1752 0.0591 0.6703  2 Pt 2.69-2.76
Sc 0.1752 0.4409 0.6703  2 Pt 2.69-2.76
Sc 0.3248 0.5591 0.1703  2 Pt 2.69-2.76
Sc 0.3248 0.9409 0.1703  2 Pt 2.69-2.76
Sc 0.6752 0.0591 0.8297  2 Pt 2.69-2.76
Sc 0.6752 0.4409 0.8297  2 Pt 2.69-2.76
Sc 0.8248 0.5591 0.3297  2 Pt 2.69-2.76
Sc 0.8248 0.9409 0.3297  2 Pt 2.69-2.76
Pt 0.1119 0.7500 0.4209  4 Sc 2.69-2.76, 2 Sm 2.86-2.96
Pt 0.3881 0.2500 0.9209  4 Sc 2.69-2.76, 2 Sm 2.86-2.96
Pt 0.6119 0.7500 0.0791  4 Sc 2.69-2.76, 2 Sm 2.86-2.96
Pt 0.8881 0.2500 0.5791  4 Sc 2.69-2.76, 2 Sm 2.86-2.96

Total moment, μB/cell: 0.0

=====

three | The following is a GGA-PBE calculation of an optimized crystal structure of SmSc2Pt, from Alexandria.

Cell lengths 9.3374, 9.3374, 9.3374 Å; angles 22.41, 22.41, 22.41 degrees
Closest atoms and distances in Å follow each position.
Atoms (fractional coordinates):
Sm 0.0000 0.0000 0.0000  6 Sc 3.58, 6 Sm 3.63
Sc 0.2271 0.2271 0.2271  3 Pt 2.67
Sc 0.7729 0.7729 0.7729  3 Pt 2.67
Pt 0.5000 0.5000 0.5000  6 Sc 2.67

Total moment, μB/cell: 0.0

=====

four | The following is a GGA-PBE calculation of an optimized crystal structure of SmSc2Pt, from Alexandria.

Cell lengths 6.3053, 6.3053, 6.3053 Å; angles 42.26, 42.26, 42.26 degrees
Closest atoms and distances in Å follow each position.
Atoms (fractional coordinates):
Sm 0.0000 0.0000 0.0000  1 Pt 3.05, 6 Sc 3.29-3.37
Sc 0.5512 0.5512 0.5512  3 Pt 2.72
Sc 0.7892 0.7892 0.7892  3 Pt 2.79, 3 Sc 3.09
Pt 0.1773 0.1773 0.1773  6 Sc 2.72-2.79

Total moment, μB/cell: 0.0

=====

Most stable: two. Least stable: three.

=====

one | The following is a GGA-PBE calculation of an optimized crystal structure of ScSn3Pt, from Alexandria.

Cell lengths 5.3777, 5.3777, 5.3777 Å; angles 90.00, 90.00, 90.00 degrees
Closest atoms and distances in Å follow each position.
Atoms (fractional coordinates):
Sc 0.0000 0.0000 0.0000  6 Sn 2.69
Sn 0.0000 0.0000 0.5000  2 Sc 2.69
Sn 0.0000 0.5000 0.0000  2 Sc 2.69
Sn 0.5000 0.0000 0.0000  2 Sc 2.69
Pt 0.5000 0.5000 0.5000  12 Sn 3.80

Total moment, μB/cell: 0.0

=====

two | The following is a GGA-PBE calculation of an optimized crystal structure of ScSn3Pt, from Alexandria.

Cell lengths 5.2362, 5.2362, 5.2362 Å; angles 90.00, 90.00, 90.00 degrees
Closest atoms and distances in Å follow each position.
Atoms (fractional coordinates):
Sc 0.0000 0.0000 0.0000  12 Sn 3.70
Sn 0.0000 0.5000 0.5000  2 Pt 2.62
Sn 0.5000 0.0000 0.5000  2 Pt 2.62
Sn 0.5000 0.5000 0.0000  2 Pt 2.62
Pt 0.5000 0.5000 0.5000  6 Sn 2.62

Total moment, μB/cell: 0.0

=====

Most stable: two. Least stable: one.

=====

one | The following is a GGA-PBE calculation of an optimized crystal structure of SrScPt, from Alexandria.

Cell lengths 4.8934, 4.8934, 4.8934 Å; angles 60.00, 60.00, 60.00 degrees
Closest atoms and distances in Å follow each position.
Atoms (fractional coordinates):
Sr 0.0000 0.0000 0.0000  4 Pt 3.00
Sc 0.5000 0.5000 0.5000  4 Pt 3.00
Pt 0.2500 0.2500 0.2500  4 Sc 3.00, 4 Sr 3.00

Total moment, μB/cell: 0.0

=====

two | The following is a GGA-PBE calculation of an optimized crystal structure of SrScPt, from Alexandria.

Cell lengths 6.7320, 6.7320, 6.7320 Å; angles 149.32, 149.32, 43.94 degrees
Closest atoms and distances in Å follow each position.
Atoms (fractional coordinates):
Sr 0.0000 0.0000 0.0000  1 Sc 3.29, 4 Pt 3.34, 4 Sr 3.56
Sc 0.2637 0.2637 0.0000  4 Pt 2.75
Pt 0.6757 0.6757 0.0000  4 Sc 2.75

Total moment, μB/cell: 0.0

=====

three | The following is a GGA-PBE calculation of an optimized crystal structure of SrScPt, from Alexandria.

Cell lengths 4.1600, 4.1600, 6.2321 Å; angles 90.00, 90.00, 120.00 degrees
Closest atoms and distances in Å follow each position.
Atoms (fractional coordinates):
Sr 0.0000 0.0000 0.0000  3 Pt 3.09
Sc 0.3333 0.6667 0.4798  3 Pt 2.62
Pt 0.6667 0.3333 0.3120  3 Sc 2.62

Total moment, μB/cell: 0.0

=====

Most stable: two. Least stable: one.

=====

one | The following is a GGA-PBE calculation of an optimized crystal structure of SrSc2Pt, from Alexandria.

Cell lengths 6.4183, 6.4183, 6.4183 Å; angles 147.16, 133.99, 57.68 degrees
Closest atoms and distances in Å follow each position.
Atoms (fractional coordinates):
Sr 0.0000 0.0000 0.0000  2 Pt 3.09, 6 Sc 3.35-3.41
Sc 0.3869 0.3869 0.0000  2 Pt 2.59
Sc 0.7051 0.2051 0.5000  4 Pt 3.10, 2 Sc 3.24, 2 Sr 3.41
Pt 0.2229 0.7229 0.5000  2 Sc 2.59

Total moment, μB/cell: 0.0

=====

two | The following is a GGA-PBE calculation of an optimized crystal structure of SrSc2Pt, from Alexandria.

Cell lengths 6.3466, 6.3466, 5.4616 Å; angles 115.42, 115.42, 31.91 degrees
Closest atoms and distances in Å follow each position.
Atoms (fractional coordinates):
Sr 0.0000 0.0000 0.0000  4 Pt 3.24, 4 Sc 3.44-3.45, 2 Sr 3.49
Sc 0.1924 0.1924 0.6924  2 Pt 2.73
Sc 0.8076 0.8076 0.3076  2 Pt 2.73
Pt 0.5000 0.5000 0.5000  4 Sc 2.73

Total moment, μB/cell: 0.0

=====

three | The following is a GGA-PBE calculation of an optimized crystal structure of SrSc2Pt, from Alexandria.

Cell lengths 6.0206, 6.0206, 6.0206 Å; angles 137.98, 137.98, 60.94 degrees
Closest atoms and distances in Å follow each position.
Atoms (fractional coordinates):
Sr 0.0000 0.0000 0.0000  4 Pt 3.05, 8 Sc 3.38
Sc 0.2500 0.7500 0.5000  4 Sc 3.05, 4 Pt 3.38, 4 Sr 3.38
Sc 0.7500 0.2500 0.5000  4 Sc 3.05, 4 Pt 3.38, 4 Sr 3.38
Pt 0.5000 0.5000 0.0000  4 Sr 3.05, 8 Sc 3.38

Total moment, μB/cell: 1.8

=====

four | The following is a GGA-PBE calculation of an optimized crystal structure of SrSc2Pt, from Alexandria.

Cell lengths 5.0042, 5.0042, 5.0042 Å; angles 60.00, 60.00, 60.00 degrees
Closest atoms and distances in Å follow each position.
Atoms (fractional coordinates):
Sr 0.0000 0.0000 0.0000  8 Sc 3.06
Sc 0.2500 0.2500 0.2500  4 Pt 3.06, 4 Sr 3.06
Sc 0.7500 0.7500 0.7500  4 Sr 3.06, 4 Pt 3.06
Pt 0.5000 0.5000 0.5000  8 Sc 3.06

Total moment, μB/cell: 0.0

=====

Most stable: two. Least stable: three.

=====

one | The following is a GGA-PBE calculation of an optimized crystal structure of SrSc2Pt2, from Alexandria.

Cell lengths 8.0235, 8.0235, 3.4488 Å; angles 90.00, 90.00, 90.00 degrees
Closest atoms and distances in Å follow each position.
Atoms (fractional coordinates):
Sr 0.0000 0.0000 0.0000  4 Pt 3.10, 2 Sr 3.45
Sr 0.5000 0.5000 0.0000  4 Pt 3.10, 2 Sr 3.45
Sc 0.1406 0.3594 0.5000  6 Pt 2.83-3.03
Sc 0.3594 0.8594 0.5000  6 Pt 2.83-3.03
Sc 0.6406 0.1406 0.5000  6 Pt 2.83-3.03
Sc 0.8594 0.6406 0.5000  6 Pt 2.83-3.03
Pt 0.1396 0.6396 0.0000  6 Sc 2.83-3.03, 2 Sr 3.10, 1 Pt 3.17
Pt 0.3604 0.1396 0.0000  6 Sc 2.83-3.03, 2 Sr 3.10, 1 Pt 3.17
Pt 0.6396 0.8604 0.0000  6 Sc 2.83-3.03, 2 Sr 3.10, 1 Pt 3.17
Pt 0.8604 0.3604 0.0000  6 Sc 2.83-3.03, 2 Sr 3.10, 1 Pt 3.17

Total moment, μB/cell: 0.0

=====

two | The following is a GGA-PBE calculation of an optimized crystal structure of SrSc2Pt2, from Alexandria.

Cell lengths 6.3069, 6.3069, 6.3069 Å; angles 133.82, 133.82, 67.37 degrees
Closest atoms and distances in Å follow each position.
Atoms (fractional coordinates):
Sr 0.0000 0.0000 0.0000  10 Sc 3.59-3.87, 8 Pt 3.61
Sc 0.3421 0.3421 0.0000  4 Pt 2.66
Sc 0.6579 0.6579 0.0000  4 Pt 2.66
Pt 0.2500 0.7500 0.5000  4 Sc 2.66
Pt 0.7500 0.2500 0.5000  4 Sc 2.66

Total moment, μB/cell: 0.5

=====

three | The following is a GGA-PBE calculation of an optimized crystal structure of SrSc2Pt2, from Alexandria.

Cell lengths 8.2769, 8.2769, 3.0493 Å; angles 90.00, 90.00, 90.00 degrees
Closest atoms and distances in Å follow each position.
Atoms (fractional coordinates):
Sr 0.0000 0.0000 0.0000  2 Sr 3.05, 4 Sc 3.23
Sr 0.5000 0.5000 0.0000  2 Sr 3.05, 4 Sc 3.23
Sc 0.1339 0.3661 0.0000  6 Pt 2.87, 3 Sc 3.05-3.13
Sc 0.3661 0.8661 0.0000  6 Pt 2.87, 3 Sc 3.05-3.13
Sc 0.6339 0.1339 0.0000  6 Pt 2.87, 3 Sc 3.05-3.13
Sc 0.8661 0.6339 0.0000  6 Pt 2.87, 3 Sc 3.05-3.13
Pt 0.1587 0.6587 0.5000  6 Sc 2.87, 2 Pt 3.05
Pt 0.3413 0.1587 0.5000  6 Sc 2.87, 2 Pt 3.05
Pt 0.6587 0.8413 0.5000  6 Sc 2.87, 2 Pt 3.05
Pt 0.8413 0.3413 0.5000  6 Sc 2.87, 2 Pt 3.05

Total moment, μB/cell: 0.0

=====

four | The following is a GGA-PBE calculation of an optimized crystal structure of SrSc2Pt2, from Alexandria.

Cell lengths 6.6891, 6.6891, 6.6891 Å; angles 140.88, 140.88, 56.52 degrees
Closest atoms and distances in Å follow each position.
Atoms (fractional coordinates):
Sr 0.0000 0.0000 0.0000  8 Pt 3.46, 8 Sc 3.70
Sc 0.2500 0.7500 0.5000  4 Pt 2.73
Sc 0.7500 0.2500 0.5000  4 Pt 2.73
Pt 0.3819 0.3819 0.0000  4 Sc 2.73, 1 Pt 2.78
Pt 0.6181 0.6181 0.0000  4 Sc 2.73, 1 Pt 2.78

Total moment, μB/cell: 0.0

=====

Most stable: four. Least stable: two.

=====

one | The following is a GGA-PBE calculation of an optimized crystal structure of Sr3ScPt, from Alexandria.

Cell lengths 5.8764, 5.8764, 5.8764 Å; angles 90.00, 90.00, 90.00 degrees
Closest atoms and distances in Å follow each position.
Atoms (fractional coordinates):
Sr 0.0000 0.0000 0.5000  2 Pt 2.94
Sr 0.0000 0.5000 0.0000  2 Pt 2.94
Sr 0.5000 0.0000 0.0000  2 Pt 2.94
Sc 0.5000 0.5000 0.5000  12 Sr 4.16
Pt 0.0000 0.0000 0.0000  6 Sr 2.94

Total moment, μB/cell: 0.0

=====

two | The following is a GGA-PBE calculation of an optimized crystal structure of Sr3ScPt, from Alexandria.

Cell lengths 5.9899, 5.9899, 5.9899 Å; angles 90.00, 90.00, 90.00 degrees
Closest atoms and distances in Å follow each position.
Atoms (fractional coordinates):
Sr 0.0000 0.0000 0.5000  2 Sc 2.99
Sr 0.0000 0.5000 0.0000  2 Sc 2.99
Sr 0.5000 0.0000 0.0000  2 Sc 2.99
Sc 0.0000 0.0000 0.0000  6 Sr 2.99
Pt 0.5000 0.5000 0.5000  12 Sr 4.24

Total moment, μB/cell: 4.3

=====

Most stable: one. Least stable: two.

=====

one | The following is a GGA-PBE calculation of an optimized crystal structure of Sc2TaPt, from Alexandria.

Cell lengths 3.0801, 4.5664, 5.6729 Å; angles 90.00, 104.90, 90.00 degrees
Closest atoms and distances in Å follow each position.
Atoms (fractional coordinates):
Sc 0.0000 0.0000 0.0000  2 Pt 2.80-2.92, 4 Ta 2.96-3.13, 4 Sc 3.07-3.08
Sc 0.2765 0.5000 0.7059  2 Ta 2.83-2.94, 2 Pt 2.84, 4 Sc 3.07-3.08
Ta 0.6674 0.5000 0.2368  2 Pt 2.75, 4 Sc 2.83-2.96
Pt 0.5411 0.0000 0.4802  2 Ta 2.75, 4 Sc 2.80-2.92

Total moment, μB/cell: 0.0

=====

two | The following is a GGA-PBE calculation of an optimized crystal structure of Sc2TaPt, from Alexandria.

Cell lengths 5.6870, 5.6870, 5.6870 Å; angles 146.07, 131.13, 60.82 degrees
Closest atoms and distances in Å follow each position.
Atoms (fractional coordinates):
Sc 0.0000 0.0000 0.0000  2 Pt 2.86, 4 Ta 2.91, 2 Sc 3.17
Sc 0.7245 0.2245 0.5000  4 Pt 2.88, 2 Ta 3.08, 4 Sc 3.17-3.22
Ta 0.4600 0.4600 0.0000  2 Pt 2.74, 4 Sc 2.91
Pt 0.2373 0.7373 0.5000  2 Ta 2.74, 6 Sc 2.86-2.88

Total moment, μB/cell: 0.0

=====

three | The following is a GGA-PBE calculation of an optimized crystal structure of Sc2TaPt, from Alexandria.

Cell lengths 4.7010, 4.7010, 4.7010 Å; angles 60.00, 60.00, 60.00 degrees
Closest atoms and distances in Å follow each position.
Atoms (fractional coordinates):
Sc 0.0000 0.0000 0.0000  4 Ta 2.88, 4 Sc 2.88
Sc 0.2500 0.2500 0.2500  4 Sc 2.88, 4 Pt 2.88
Ta 0.7500 0.7500 0.7500  4 Sc 2.88, 4 Pt 2.88
Pt 0.5000 0.5000 0.5000  4 Ta 2.88, 4 Sc 2.88

Total moment, μB/cell: 0.0

=====

four | The following is a GGA-PBE calculation of an optimized crystal structure of Sc2TaPt, from Alexandria.

Cell lengths 5.4170, 5.4170, 2.9285 Å; angles 98.55, 98.55, 115.02 degrees
Closest atoms and distances in Å follow each position.
Atoms (fractional coordinates):
Sc 0.0000 0.5000 0.0000  2 Ta 2.88, 2 Pt 2.88, 4 Sc 2.91-2.93
Sc 0.5000 0.0000 0.0000  2 Ta 2.88, 2 Pt 2.88, 4 Sc 2.91-2.93
Ta 0.0000 0.0000 0.5000  4 Sc 2.88, 2 Pt 2.91, 2 Ta 2.93
Pt 0.5000 0.5000 0.5000  4 Sc 2.88, 2 Ta 2.91, 2 Pt 2.93

Total moment, μB/cell: 0.0

=====

Most stable: two. Least stable: three.

=====

one | The following is a GGA-PBE calculation of an optimized crystal structure of ScTaPt4, from Alexandria.

Cell lengths 4.9946, 4.9946, 7.7541 Å; angles 112.77, 112.77, 34.06 degrees
Closest atoms and distances in Å follow each position.
Atoms (fractional coordinates):
Sc 0.0000 0.0000 0.0000  10 Pt 2.84-2.94, 2 Sc 2.93
Ta 0.0000 0.0000 0.5000  10 Pt 2.79-2.95, 2 Ta 2.93
Pt 0.3364 0.3364 0.1733  2 Ta 2.79, 3 Sc 2.84-2.94, 7 Pt 2.85-2.93
Pt 0.3376 0.3376 0.6645  3 Ta 2.79-2.95, 7 Pt 2.83-2.93, 2 Sc 2.84
Pt 0.6624 0.6624 0.3355  3 Ta 2.79-2.95, 7 Pt 2.83-2.93, 2 Sc 2.84
Pt 0.6636 0.6636 0.8267  2 Ta 2.79, 3 Sc 2.84-2.94, 7 Pt 2.85-2.93

Total moment, μB/cell: 0.0

=====

two | The following is a GGA-PBE calculation of an optimized crystal structure of ScTaPt4, from Alexandria.

Cell lengths 5.2651, 5.2651, 5.2651 Å; angles 60.00, 60.00, 60.00 degrees
Closest atoms and distances in Å follow each position.
Atoms (fractional coordinates):
Sc 0.0000 0.0000 0.0000  12 Pt 3.09, 4 Ta 3.22
Ta 0.7500 0.7500 0.7500  12 Pt 3.09, 4 Sc 3.22
Pt 0.3751 0.3751 0.3751  6 Pt 2.63-2.64
Pt 0.3751 0.3751 0.8746  6 Pt 2.63-2.64
Pt 0.3751 0.8746 0.3751  6 Pt 2.63-2.64
Pt 0.8746 0.3751 0.3751  6 Pt 2.63-2.64

Total moment, μB/cell: 0.0

=====

Most stable: one. Least stable: two.

=====

one | The following is a GGA-PBE calculation of an optimized crystal structure of TbSc2Pt, from Alexandria.

Cell lengths 6.8350, 9.0921, 6.1461 Å; angles 90.00, 90.00, 90.00 degrees
Closest atoms and distances in Å follow each position.
Atoms (fractional coordinates):
Tb 0.0162 0.2500 0.1200  2 Pt 2.81-2.90
Tb 0.4838 0.7500 0.6200  2 Pt 2.81-2.90
Tb 0.5162 0.2500 0.3800  2 Pt 2.81-2.90
Tb 0.9838 0.7500 0.8800  2 Pt 2.81-2.90
Sc 0.1757 0.0579 0.6734  2 Pt 2.70-2.77
Sc 0.1757 0.4421 0.6734  2 Pt 2.70-2.77
Sc 0.3243 0.5579 0.1734  2 Pt 2.70-2.77
Sc 0.3243 0.9421 0.1734  2 Pt 2.70-2.77
Sc 0.6757 0.0579 0.8266  2 Pt 2.70-2.77
Sc 0.6757 0.4421 0.8266  2 Pt 2.70-2.77
Sc 0.8243 0.5579 0.3266  2 Pt 2.70-2.77
Sc 0.8243 0.9421 0.3266  2 Pt 2.70-2.77
Pt 0.1107 0.7500 0.4298  4 Sc 2.70-2.77, 2 Tb 2.81-2.90
Pt 0.3893 0.2500 0.9298  4 Sc 2.70-2.77, 2 Tb 2.81-2.90
Pt 0.6107 0.7500 0.0702  4 Sc 2.70-2.77, 2 Tb 2.81-2.90
Pt 0.8893 0.2500 0.5702  4 Sc 2.70-2.77, 2 Tb 2.81-2.90

Total moment, μB/cell: 0.0

=====

two | The following is a GGA-PBE calculation of an optimized crystal structure of TbSc2Pt, from Alexandria.

Cell lengths 3.3792, 3.3792, 8.0452 Å; angles 90.00, 90.00, 90.00 degrees
Closest atoms and distances in Å follow each position.
Atoms (fractional coordinates):
Tb 0.0000 0.0000 0.0000  4 Tb 3.38, 8 Sc 3.44
Sc 0.5000 0.5000 0.3069  4 Pt 2.85, 1 Sc 3.11
Sc 0.5000 0.5000 0.6931  4 Pt 2.85, 1 Sc 3.11
Pt 0.0000 0.0000 0.5000  8 Sc 2.85

Total moment, μB/cell: 0.0

=====

Most stable: one. Least stable: two.